RbMg: relaxed, GGA-PBEsol.

```
data_RbMg
_space_group_name_H-M_alt 'P 1'
_space_group_IT_number 1
_space_group_name_Hall 'P 1'
_cell_length_a 6.082
_cell_length_b 6.082
_cell_length_c 6.082
_cell_angle_alpha 60.00
_cell_angle_beta 60.00
_cell_angle_gamma 60.00
loop_
_atom_site_label
_atom_site_type_symbol
_atom_site_fract_x
_atom_site_fract_y
_atom_site_fract_z
Rb1 Rb 0.000 0.000 0.000
Mg1 Mg 0.750 0.750 0.750
```

Properties
As for the space group: F-43m (216). The value obtained for the calculated total energy is -0.65 eV per atom.